Entry from Alexandria via LeMat-Bulk: a relaxed structure of YB2MoF (PBE with a Hubbard U).

symmetry	P4/mmm, No. 123
magnetization	0.1982	μB/atom
Fermi-level density of states	0.7885	states/eV/atom
ρ	4.0	g/cm³
electronic total energy	-23.8	eV per cell

Cell: 4.7455 4.7455 4.1428 Å, 90.00 90.00 90.00°
Fractional positions:
Y 0.0000 0.0000 0.0000
B 0.0000 0.5000 0.0000
B 0.5000 0.0000 0.0000
Mo 0.5000 0.5000 0.5000
F 0.0000 0.0000 0.5000